No. 1
PmCu2RuO6 | Alexandria | PBE | relaxed; E_form (uncorrected) = -1.2952 eV/atom; space-group type = R3 (146)
1.0
2.714 1.567 4.787
-2.714 1.567 4.787
0.000 -3.134 4.787
Pm Cu Ru O
1 2 1 6
Cartesian
0.000 0.000 0.000 Pm
0.000 0.000 4.186 Cu
0.000 0.000 10.749 Cu
0.000 0.000 7.208 Ru
-0.857 -1.252 5.898 O
-1.644 0.039 8.204 O
-0.656 1.369 5.898 O
0.789 -1.443 8.204 O
1.513 -0.116 5.898 O
0.856 1.405 8.204 O



No. 2
Ba3Bi2P4O16 | Alexandria | PBE | relaxed; E_form (uncorrected) = -2.4440 eV/atom; space-group type = C2/c (15)
1.0
10.373 -4.461 0.000
10.373 4.461 0.000
-2.981 0.000 8.307
Ba Bi P O
6 4 8 32
Cartesian
8.137 3.968 6.230 Ba
2.192 0.554 6.409 Ba
3.683 -0.554 2.255 Ba
14.081 0.554 6.052 Ba
15.572 -0.554 1.899 Ba
9.627 -3.968 2.077 Ba
7.733 0.557 2.678 Bi
6.243 -0.557 6.831 Bi
11.522 0.557 1.476 Bi
10.031 -0.557 5.629 Bi
8.054 2.532 0.152 P
5.718 1.741 4.576 P
11.201 2.532 4.002 P
10.556 1.741 7.885 P
7.209 -1.741 0.423 P
6.564 -2.532 4.305 P
12.046 -1.741 3.731 P
9.710 -2.532 8.156 P
6.020 3.630 7.957 O
2.244 1.316 3.639 O
3.717 2.553 7.738 O
7.801 2.738 1.713 O
10.254 3.630 4.503 O
5.639 1.258 3.057 O
7.241 1.651 4.906 O
4.935 0.695 5.441 O
11.454 2.738 2.440 O
8.759 1.108 0.127 O
0.754 -1.316 7.793 O
9.033 1.651 7.554 O
12.557 2.553 4.722 O
6.426 -0.695 1.287 O
10.496 1.108 4.026 O
4.149 -1.258 7.210 O
13.616 1.258 1.097 O
7.268 -1.108 4.281 O
11.338 0.695 7.020 O
5.207 -2.553 3.585 O
8.732 -1.651 0.753 O
17.011 1.316 0.514 O
9.005 -1.108 8.180 O
6.310 -2.738 5.867 O
12.829 -0.695 2.867 O
10.523 -1.651 3.401 O
12.125 -1.258 5.251 O
7.510 -3.630 3.804 O
9.963 -2.738 6.594 O
14.048 -2.553 0.569 O
15.520 -1.316 4.668 O
11.744 -3.630 0.350 O



No. 3
ThPt2Rh2 | Alexandria | PBE | relaxed; offset from the most stable computed form = 0.205 eV/atom; space-group type = P6_3/mmc (194); ΔE_f = -0.3130 eV/atom
1.0
4.747 0.000 0.000
-2.373 4.111 0.000
0.000 0.000 10.878
Th Pt Rh
2 4 4
Cartesian
0.000 0.000 2.719 Th
0.000 0.000 8.158 Th
0.000 0.000 0.000 Pt
0.000 0.000 5.439 Pt
0.000 2.740 2.719 Pt
2.373 1.370 8.158 Pt
0.000 2.740 0.107 Rh
0.000 2.740 5.332 Rh
2.373 1.370 5.546 Rh
2.373 1.370 10.771 Rh



No. 4
Pm2YHo6Tm | Alexandria | PBE | relaxed; space-group type = C2/c (15); ΔE_f = 0.1139 eV/atom
1.0
4.491 -7.520 0.000
4.491 7.520 0.000
-1.420 0.000 9.506
Pm Y Ho Tm
4 2 12 2
Cartesian
2.172 0.804 0.408 Pm
1.462 -0.804 5.161 Pm
6.099 0.804 4.345 Pm
5.389 -0.804 9.098 Pm
4.135 7.235 2.376 Y
3.425 -7.235 7.129 Y
2.404 4.160 1.782 Ho
3.132 4.654 5.294 Ho
3.719 4.654 8.964 Ho
3.015 1.585 3.621 Ho
5.867 4.160 2.971 Ho
5.256 1.585 1.132 Ho
2.305 -1.585 8.374 Ho
1.694 -4.160 6.535 Ho
4.546 -1.585 5.885 Ho
3.842 -4.654 0.541 Ho
4.429 -4.654 4.212 Ho
5.157 -4.160 7.724 Ho
3.425 1.388 7.129 Tm
4.135 -1.388 2.376 Tm



No. 5
TcPdPt2 | Alexandria | PBE | relaxed; offset from the most stable computed form = 0.585 eV/atom; space-group type = I-42d (122); ΔE_f = 0.4083 eV/atom
1.0
-3.527 3.527 2.719
3.527 -3.527 2.719
3.527 3.527 -2.719
Tc Pd Pt
2 2 4
Cartesian
0.000 0.000 0.000 Tc
0.000 3.527 1.360 Tc
3.527 0.000 1.360 Pd
0.000 0.000 2.719 Pd
1.764 1.633 -0.680 Pt
1.894 -1.764 3.399 Pt
1.764 1.894 2.039 Pt
1.633 5.291 0.680 Pt



No. 6
Cs2TlO3 | Alexandria | PBE | relaxed; E_form (uncorrected) = -0.8539 eV/atom; space-group type = Cmcm (63)
1.0
5.784 -3.934 0.000
5.784 3.934 0.000
0.000 0.000 6.312
Cs Tl O
4 2 6
Cartesian
1.918 1.206 1.578 Cs
1.918 -1.206 4.734 Cs
9.651 1.206 1.578 Cs
9.651 -1.206 4.734 Cs
5.784 0.663 1.578 Tl
5.784 -0.663 4.734 Tl
5.784 2.847 1.578 O
4.305 0.000 0.000 O
4.305 0.000 3.156 O
7.263 0.000 0.000 O
7.263 0.000 3.156 O
5.784 -2.847 4.734 O



No. 7
VMoC | Alexandria | PBE | relaxed; offset from the most stable computed form = 0.122 eV/atom; space-group type = P2_1/m (11); ΔE_f = -0.1794 eV/atom
1.0
2.956 0.000 0.000
0.000 4.367 0.000
-1.036 0.000 5.488
V Mo C
2 2 2
Cartesian
0.263 1.092 0.603 V
1.657 3.276 4.885 V
0.231 1.092 3.477 Mo
1.688 3.276 2.011 Mo
0.189 3.276 3.537 C
1.730 1.092 1.951 C



No. 8
CeHfBe2 | Alexandria | PBE | relaxed; space-group type = P4/mmm (123); ΔE_f = 0.0638 eV/atom
1.0
3.205 0.000 0.000
0.000 3.205 0.000
0.000 0.000 6.721
Ce Hf Be
1 1 2
Cartesian
0.000 0.000 0.000 Ce
0.000 0.000 3.361 Hf
1.603 1.603 1.976 Be
1.603 1.603 4.746 Be



Copy entry 7 word for word.
VMoC | Alexandria | PBE | relaxed; offset from the most stable computed form = 0.122 eV/atom; space-group type = P2_1/m (11); ΔE_f = -0.1794 eV/atom
1.0
2.956 0.000 0.000
0.000 4.367 0.000
-1.036 0.000 5.488
V Mo C
2 2 2
Cartesian
0.263 1.092 0.603 V
1.657 3.276 4.885 V
0.231 1.092 3.477 Mo
1.688 3.276 2.011 Mo
0.189 3.276 3.537 C
1.730 1.092 1.951 C